Entry 1:
A relaxed CaHPt2Au crystal. Source: the Alexandria database, functional PBE.

Cell: 4.1809 4.1809 4.2889 Å, 90.00 90.00 90.00°
Sites, in units of the cell vectors:
Pt1 0.0000 0.5000 0.0000
Pt2 0.5000 0.0000 0.0000
H1 0.0000 0.0000 0.0000
Ca1 0.5000 0.5000 0.5000
Au1 0.0000 0.0000 0.5000

## Properties
Energy above the most stable polymorph in this dataset, kJ/mol of formula units: 38
Size of the total moment, μB per formula unit: 0.0
D(E_F), states/eV per cell: 1.453
Symmetry: P4/mmm, No. 123

---

Entry 2:
A relaxed Ce3DyS6 crystal. Source: the Alexandria database, functional PBE.

Cell: 6.9629 7.1343 11.2944 Å, 90.00 89.97 90.00°
Last column: magnetic moment on the atom in μB.
Sites, in units of the cell vectors:
Dy1 0.0000 0.0000 0.0000  0.03
Dy2 0.5000 0.5000 0.5000  0.03
S1 0.8226 0.6747 0.5002  -0.02
S2 0.2109 0.2606 0.1500  -0.02
S3 0.7109 0.2394 0.6500  -0.02
S4 0.7891 0.7394 0.8500  -0.02
S5 0.2107 0.2594 0.8494  -0.02
S6 0.7107 0.2406 0.3494  -0.02
S7 0.2891 0.7606 0.3500  -0.02
S8 0.1774 0.3253 0.4998  -0.02
S9 0.7893 0.7406 0.1506  -0.02
S10 0.6774 0.1747 0.9998  -0.02
S11 0.3226 0.8253 0.0002  -0.02
S12 0.2893 0.7594 0.6506  -0.02
Ce1 0.0002 0.5005 0.2961  0.89
Ce2 0.4998 0.0005 0.2039  0.89
Ce3 0.5002 0.9995 0.7961  0.89
Ce4 0.9998 0.4995 0.7039  0.89
Ce5 0.5000 0.5000 0.0000  1.02
Ce6 0.0000 0.0000 0.5000  1.02

## Properties
Size of the total moment, μB per formula unit: 3.0
Raw formation energy, eV per atom: -1.84
D(E_F), states/eV per cell: 39.442
Symmetry: P2_1/c, No. 14

---

Entry 3:
A relaxed PmNdGa crystal. Source: the Alexandria database, functional PBE.

Cell: 3.8452 5.0346 5.0346 Å, 120.00 90.00 90.00°
Sites, in units of the cell vectors:
Pm1 0.0570 0.0000 0.0000
Nd1 0.6192 0.6667 0.3333
Ga1 0.3238 0.3333 0.6667

## Properties
Energy above the most stable polymorph in this dataset, kJ/mol of formula units: 36
Size of the total moment, μB per formula unit: 0.0
Formation energy from the elements, meV/atom: -270
D(E_F), states/eV per cell: 1.909
Symmetry: P3m1, No. 156

---

Entry 4:
A relaxed La3Tb2Nd4 crystal. Source: the Alexandria database, functional PBE.

Cell: 3.6824 8.2358 11.0139 Å, 76.54 90.00 102.92°
Sites, in units of the cell vectors:
La1 0.6680 0.3360 0.4446
La2 0.3320 0.6640 0.5554
La3 0.0000 0.0000 0.0000
Nd1 0.0003 0.0005 0.6686
Nd2 0.3325 0.6650 0.8895
Nd3 0.9997 0.9995 0.3314
Nd4 0.6675 0.3350 0.1105
Tb1 0.6669 0.3337 0.7785
Tb2 0.3332 0.6663 0.2215

## Properties
Energy above the most stable polymorph in this dataset, kJ/mol of formula units: 0
Size of the total moment, μB per formula unit: 0.0
Formation energy from the elements, meV/atom: 18
D(E_F), states/eV per cell: 14.358
Symmetry: C2/m, No. 12

---

Entry 5:
A relaxed Ac3Ga2Si3 crystal. Source: the Alexandria database, functional PBE.

Cell: 4.4303 6.3575 15.3252 Å, 90.00 90.00 110.39°
Sites, in units of the cell vectors:
Si1 0.3640 0.7280 0.2500
Si2 0.3569 0.7138 0.9573
Si3 0.3569 0.7138 0.5427
Si4 0.6360 0.2720 0.7500
Si5 0.6431 0.2862 0.4573
Si6 0.6431 0.2862 0.0427
Ga1 0.2305 0.4610 0.0984
Ga2 0.7695 0.5390 0.9016
Ga3 0.7695 0.5390 0.5984
Ga4 0.2305 0.4610 0.4016
Ac1 0.3474 0.6947 0.7500
Ac2 0.6526 0.3053 0.2500
Ac3 0.9404 0.8808 0.3919
Ac4 0.0596 0.1192 0.6081
Ac5 0.9404 0.8808 0.1081
Ac6 0.0596 0.1192 0.8919

## Properties
Energy above the most stable polymorph in this dataset, kJ/mol of formula units: 59
Size of the total moment, μB per formula unit: 0.0
Raw formation energy, eV per atom: -0.48
D(E_F), states/eV per cell: 8.668
Symmetry: Cmcm, No. 63

---

Entry 6:
A relaxed LiYOs2 crystal. Source: the Alexandria database, functional PBE.

Cell: 3.2614 4.3897 4.6118 Å, 90.00 90.00 90.00°
Sites, in units of the cell vectors:
Y1 0.5000 0.0000 0.5000
Li1 0.0000 0.5000 0.5000
Os1 0.5000 0.5000 0.0000
Os2 0.0000 0.0000 0.0000

## Properties
Energy above the most stable polymorph in this dataset, kJ/mol of formula units: 31
Size of the total moment, μB per formula unit: 0.0
Formation energy from the elements, meV/atom: 276
D(E_F), states/eV per cell: 3.260
Symmetry: Pmmm, No. 47